Record 1
## Cs2SrCu2I7 (PBE)

Data for a relaxed structure of Cs2SrCu2I7.

## Properties
N(E_F) = 0.42 states/eV per atom
Crystal system = monoclinic
Raw total energy = -2.7657 eV/atom
Volume = 39.7 A^3/atom
Raw formation energy = -86.5 kJ/mol of atoms

abc: 8.054 8.058 15.217
angles: 90.00 105.22 90.00
Space group C2/m (No. 12)
Inequivalent atoms, fractional coordinates:
Cs: 0.176 0.000 0.356
Sr: 0.000 0.000 0.000
Cu: 0.097 0.500 0.191
I: 0.000 0.500 0.000
I: 0.169 0.250 0.837
I: 0.186 0.500 0.375

Record 2
## ZnCoN (PBE)

Data for a relaxed structure of ZnCoN.

## Properties
N(E_F) = 0.40 states/eV per atom
Crystal system = trigonal
Raw total energy = -5.4068 eV/atom
Volume = 11.3 A^3/atom
Raw formation energy = 15.6 kJ/mol of atoms

abc: 2.7692 2.7692 30.6695
angles: 90.00 90.00 120.00
Space group R-3m (No. 166, hexagonal axes)
Inequivalent atoms, fractional coordinates:
Zn: 0.0000 0.0000 0.2033
Co: 0.0000 0.0000 0.3689
N: 0.0000 0.0000 0.2696

Record 3
## Sb (PBE)

Data for a relaxed structure of Sb.

## Properties
N(E_F) = 0.49 states/eV per atom
Crystal system = triclinic
Raw total energy = -4.0005 eV/atom
Volume = 32.2 A^3/atom
Raw formation energy = 11.8 kJ/mol of atoms

abc: 6.196 7.354 11.353
angles: 79.45 74.31 65.18
Space group P-1 (No. 2)
Inequivalent atoms, fractional coordinates:
Sb: 0.000 0.000 0.000
Sb: 0.000 0.500 0.500
Sb: 0.014 0.361 0.113
Sb: 0.022 0.718 0.238
Sb: 0.241 0.899 0.624
Sb: 0.265 0.102 0.375
Sb: 0.477 0.283 0.763
Sb: 0.500 0.000 0.000
Sb: 0.500 0.500 0.500

Record 4
## Sc3TlPd (PBE)

Data for a relaxed structure of Sc3TlPd.

## Properties
Calculated formation energy = -0.141 eV per atom
N(E_F) = 1.80 states/eV per atom
Crystal system = cubic
Raw total energy = -5.4522 eV/atom
Volume = 26.0 A^3/atom

abc: 5.068 5.068 5.068
angles: 90.00 90.00 90.00
Space group Pm-3m (No. 221)
Inequivalent atoms, fractional coordinates:
Sc: 0.000 0.000 0.500
Tl: 0.500 0.500 0.500
Pd: 0.000 0.000 0.000

Record 5
## La4Pm2H (PBE)

Data for a relaxed structure of La4Pm2H.

## Properties
N(E_F) = 1.42 states/eV per atom
Crystal system = tetragonal
Raw total energy = -4.5965 eV/atom
Volume = 32.5 A^3/atom

abc: 5.066 5.066 17.715
angles: 90.00 90.00 90.00
Space group I4/mmm (No. 139)
Inequivalent atoms, fractional coordinates:
La: 0.000 0.000 0.156
La: 0.000 0.500 0.000
Pm: 0.000 0.000 0.359
H: 0.000 0.000 0.000

Record 6
## La2ZnOs2 (PBE)

Data for a relaxed structure of La2ZnOs2.

## Properties
Calculated formation energy = -0.119 eV per atom
N(E_F) = 0.85 states/eV per atom
Crystal system = monoclinic
Raw total energy = -6.8362 eV/atom
Volume = 22.5 A^3/atom

abc: 9.498 5.779 8.476
angles: 90.00 104.51 90.00
Space group C2/c (No. 15)
Inequivalent atoms, fractional coordinates:
La: 0.148 0.145 0.150
Zn: 0.000 0.383 0.750
Os: 0.139 0.358 0.510

Record 7
## CeEr2Te5 (PBE)

Data for a relaxed structure of CeEr2Te5.

## Properties
N(E_F) = 0.76 states/eV per atom
Crystal system = tetragonal
Raw total energy = -5.0559 eV/atom
Volume = 29.2 A^3/atom
Raw formation energy = -116.7 kJ/mol of atoms

abc: 8.132 8.132 14.109
angles: 90.00 90.00 90.00
Space group I4/mcm (No. 140)
Inequivalent atoms, fractional coordinates:
Ce: 0.000 0.000 0.250
Er: 0.151 0.349 0.000
Te: 0.000 0.000 0.000
Te: 0.159 0.341 0.352

Record 8
## SrCd2HgAu (PBE)

Data for a relaxed structure of SrCd2HgAu.

## Properties
Calculated formation energy = -0.211 eV per atom
N(E_F) = 0.60 states/eV per atom
Crystal system = tetragonal
Raw total energy = -1.6291 eV/atom
Volume = 33.8 A^3/atom

abc: 5.312 5.312 5.985
angles: 90.00 90.00 90.00
Space group P4/mmm (No. 123)
Inequivalent atoms, fractional coordinates:
Sr: 0.000 0.000 0.000
Cd: 0.000 0.500 0.500
Hg: 0.500 0.500 0.000
Au: 0.000 0.000 0.500

> What is the raw total energy in the fourth record?

-5.4522 eV/atom

> What is the raw total energy in the sixth record?

-6.8362 eV/atom